# 1
Material: Ba2PmSeO6
Method: DFT, PBE
State: optimized geometry

```
20
Lattice="-1.0946 -2.7532 5.2566 5.3746 1.8065 2.0654 -3.5559 7.1465 3.0025" Properties=species:S:1:pos:R:3 pbc="T T T"
Ba 0.8164 5.3386 6.4294
Ba 0.4546 2.2387 1.2672
Ba -1.3229 5.8111 2.7681
Ba 2.5948 1.7644 4.9277
Se -0.9814 2.6484 4.6460
Se 4.0308 1.3548 1.5490
O 1.2956 6.8517 3.8584
O -1.8021 4.2980 5.3391
O -1.9696 2.8670 2.9553
O 0.5122 3.7011 3.9091
O 1.9481 -1.1797 5.1150
O 3.2099 3.0044 2.2420
O 5.0189 1.1362 3.2396
O 2.5372 0.3021 2.2858
O -2.4751 1.5955 5.3829
O 0.0067 2.4297 6.3365
O 4.4298 -0.3455 6.0686
O -0.1605 0.9988 3.9530
Pm 0.7963 -0.9250 3.1446
Pm 2.2531 4.9282 3.0503
```

***

# 2
Material: BaPmSe2O8
Method: DFT, PBE
State: optimized geometry

```
12
Lattice="5.8460 0.0000 0.0000 -2.9230 5.0627 0.0000 0.0000 0.0000 7.8802" Properties=species:S:1:pos:R:3 pbc="T T T"
Pm 0.0000 0.0000 3.9401
Se 0.0000 3.3752 6.0401
Se 2.9230 1.6876 1.8401
O 1.4525 4.2148 5.5414
O 4.3764 0.8495 2.3388
O 0.0000 3.3752 7.7135
O -1.4534 4.2133 5.5414
O 2.9230 1.6876 0.1668
O 0.0009 1.6974 5.5414
O 2.9221 3.3654 2.3388
O 1.4704 0.8480 2.3388
Ba 0.0000 0.0000 0.0000
```

***

Quick rundown of calculated total energy, same order as above: -127.70, -72.89 eV for the cell shown
Quick rundown of density, same order as above: 6.4, 4.0 g/cm3